1.
Compound: TiSnIrRh
Source: Alexandria via LeMat-Bulk
Functional: PBE
Structure: optimized geometry

ΔE_f = -0.66 eV/atom

Structure (CIF):
```
data_TiSnIrRh
_chemical_formula_sum 'Ti2 Sn2 Ir2 Rh2'
_cell_length_a 4.137
_cell_length_b 4.137
_cell_length_c 7.458
_cell_angle_alpha 90.00
_cell_angle_beta 90.00
_cell_angle_gamma 90.00
_symmetry_space_group_name_H-M 'I -4 m 2'
_symmetry_Int_Tables_number 119
_symmetry_space_group_name_Hall 'I -4 -2'
loop_
_atom_site_label
_atom_site_type_symbol
_atom_site_fract_x
_atom_site_fract_y
_atom_site_fract_z
Ti1 Ti 0.000 0.000 0.000
Sn1 Sn 0.000 0.000 0.500
Ir1 Ir 0.000 0.500 0.250
Rh1 Rh 0.000 0.500 0.750
```

2.
Compound: ThPaTcHg
Source: Alexandria via LeMat-Bulk
Functional: PBE
Structure: optimized geometry

ΔE_f = 0.08 eV/atom

Structure (CIF):
```
data_ThPaTcHg
_chemical_formula_sum 'Th4 Pa4 Tc4 Hg4'
_cell_length_a 7.266
_cell_length_b 7.266
_cell_length_c 7.266
_cell_angle_alpha 90.00
_cell_angle_beta 90.00
_cell_angle_gamma 90.00
_symmetry_space_group_name_H-M 'F -4 3 m'
_symmetry_Int_Tables_number 216
_symmetry_space_group_name_Hall 'F -4 2 3'
loop_
_atom_site_label
_atom_site_type_symbol
_atom_site_fract_x
_atom_site_fract_y
_atom_site_fract_z
Th1 Th 0.000 0.000 0.000
Pa1 Pa 0.000 0.000 0.500
Tc1 Tc 0.250 0.250 0.250
Hg1 Hg 0.250 0.250 0.750
```

3.
Compound: RbInFeCl4
Source: Alexandria via LeMat-Bulk
Functional: PBE
Structure: optimized geometry

ΔE_f (raw) = -1.102 eV per atom

Structure (CIF):
```
data_RbInFeCl4
_chemical_formula_sum 'Rb2 In2 Fe2 Cl8'
_cell_length_a 7.126
_cell_length_b 7.186
_cell_length_c 9.311
_cell_angle_alpha 90.00
_cell_angle_beta 107.08
_cell_angle_gamma 90.00
_symmetry_space_group_name_H-M 'P 1 21/m 1'
_symmetry_Int_Tables_number 11
loop_
_symmetry_equiv_pos_as_xyz
'x,y,z'
'-x,-y,-z'
'-x,y+1/2,-z'
'x,-y+1/2,z'
loop_
_atom_site_label
_atom_site_type_symbol
_atom_site_fract_x
_atom_site_fract_y
_atom_site_fract_z
Rb1 Rb 0.211 0.250 0.031
In1 In 0.266 0.250 0.548
Fe1 Fe 0.212 0.750 0.778
Cl1 Cl 0.004 0.003 0.287
Cl2 Cl 0.344 0.750 0.034
Cl3 Cl 0.435 0.750 0.647
```

4.
Compound: Cd2IrRh2
Source: Alexandria via LeMat-Bulk
Functional: PBE
Structure: optimized geometry

ΔE_f = 0.22 eV/atom

Structure (CIF):
```
data_Cd2IrRh2
_chemical_formula_sum 'Cd4 Ir2 Rh4'
_cell_length_a 6.534
_cell_length_b 6.534
_cell_length_c 4.225
_cell_angle_alpha 90.00
_cell_angle_beta 90.00
_cell_angle_gamma 90.00
_symmetry_space_group_name_H-M 'P 4/m b m'
_symmetry_Int_Tables_number 127
_symmetry_space_group_name_Hall '-P 4 2ab'
loop_
_atom_site_label
_atom_site_type_symbol
_atom_site_fract_x
_atom_site_fract_y
_atom_site_fract_z
Cd1 Cd 0.172 0.328 0.000
Ir1 Ir 0.000 0.000 0.500
Rh1 Rh 0.134 0.634 0.500
```

5.
Compound: DyPa2Pb9
Source: Alexandria via LeMat-Bulk
Functional: PBE
Structure: optimized geometry

ΔE_f = -0.09 eV/atom

Structure (CIF):
```
data_DyPa2Pb9
_chemical_formula_sum 'Dy1 Pa2 Pb9'
_cell_length_a 4.825
_cell_length_b 4.825
_cell_length_c 14.560
_cell_angle_alpha 90.00
_cell_angle_beta 90.00
_cell_angle_gamma 90.00
_symmetry_space_group_name_H-M 'P 4/m m m'
_symmetry_Int_Tables_number 123
_symmetry_space_group_name_Hall '-P 4 2'
loop_
_atom_site_label
_atom_site_type_symbol
_atom_site_fract_x
_atom_site_fract_y
_atom_site_fract_z
Dy1 Dy 0.000 0.000 0.000
Pa1 Pa 0.000 0.000 0.338
Pb1 Pb 0.000 0.500 0.168
Pb2 Pb 0.000 0.500 0.500
Pb3 Pb 0.500 0.500 0.000
Pb4 Pb 0.500 0.500 0.334
```

6.
Compound: TlOsO6
Source: Alexandria via LeMat-Bulk
Functional: PBE
Structure: optimized geometry

ΔE_f (raw) = -0.295 eV per atom

Structure (CIF):
```
data_TlOsO6
_chemical_formula_sum 'Tl3 Os3 O18'
_cell_length_a 6.7260
_cell_length_b 6.7260
_cell_length_c 7.4607
_cell_angle_alpha 90.00
_cell_angle_beta 90.00
_cell_angle_gamma 120.00
_symmetry_space_group_name_H-M 'R -3 m'
_symmetry_Int_Tables_number 166
_symmetry_space_group_name_Hall '-R 3 2"'
loop_
_atom_site_label
_atom_site_type_symbol
_atom_site_fract_x
_atom_site_fract_y
_atom_site_fract_z
Tl1 Tl 0.0000 0.0000 0.0000
Os1 Os 0.0000 0.0000 0.5000
O1 O 0.0766 0.5383 0.3170
```

It is found that the N(E_F) values, taken in the order of the records, are 2.4 19.0 13.6 7.4 13.2 11.9 states/eV per cell.